[1]
Compound: Li2LaMoH
Source: the Alexandria database
Functional: PBE
Structure: optimized geometry

abc: 5.107 5.037 5.107
angles: 90.00 90.00 90.00
Element x y z (fractional)
H (0.500, 0.500, 0.500)
Mo (0.000, 0.000, 0.000)
Li (0.000, 0.000, 0.500)
Li (0.500, 0.000, 0.000)
La (0.000, 0.500, 0.000)

* space group: P4/mmm

[2]
Compound: LiMnRhPb2
Source: the Alexandria database
Functional: PBE
Structure: optimized geometry

abc: 5.215 4.604 5.215
angles: 90.00 90.00 90.00
Element x y z (fractional)
Pb (0.000, 0.000, 0.500)
Pb (0.500, 0.000, 0.000)
Mn (0.500, 0.500, 0.500)
Rh (0.000, 0.000, 0.000)
Li (0.000, 0.500, 0.000)

* space group: P4/mmm
* calculated formation energy: 0.380 eV per atom

[3]
Compound: Y2HoCdO
Source: the Alexandria database
Functional: PBE
Structure: optimized geometry

abc: 4.761 4.807 4.807
angles: 90.00 90.00 90.00
Element x y z (fractional)
Y (0.000, 0.000, 0.500)
Y (0.000, 0.500, 0.000)
Ho (0.500, 0.000, 0.000)
Cd (0.500, 0.500, 0.500)
O (0.000, 0.000, 0.000)

* space group: P4/mmm

[4]
Compound: BaPtBr2
Source: the Alexandria database
Functional: PBE
Structure: optimized geometry

abc: 5.988 5.988 5.988
angles: 48.75 48.75 48.75
Element x y z (fractional)
Br (0.982, 0.982, 0.982)
Br (0.518, 0.518, 0.518)
Ba (0.750, 0.750, 0.750)
Pt (0.250, 0.250, 0.250)

* space group: R-3m
* energy above the most stable polymorph in this dataset: 0.284 eV per atom

[5]
Compound: AlCrI2N
Source: the Alexandria database
Functional: PBE
Structure: optimized geometry

abc: 5.717 5.717 3.674
angles: 90.00 90.00 90.00
Element x y z (fractional)
I (0.000, 0.500, 0.000)
I (0.500, 0.000, 0.000)
Cr (0.000, 0.000, 0.000)
Al (0.500, 0.500, 0.500)
N (0.000, 0.000, 0.500)

* space group: P4/mmm
* energy above the most stable polymorph in this dataset: 0.000 eV per atom

[6]
Compound: LaTmMg3
Source: the Alexandria database
Functional: PBE
Structure: optimized geometry

abc: 6.125 7.545 7.545
angles: 119.92 90.00 90.00
Element x y z (fractional)
La (0.250, 0.333, 0.667)
La (0.750, 0.667, 0.333)
Tm (0.000, 0.000, 0.000)
Tm (0.500, 0.000, 0.000)
Mg (0.250, 0.797, 0.203)
Mg (0.750, 0.203, 0.797)
Mg (0.250, 0.797, 0.595)
Mg (0.750, 0.203, 0.405)
Mg (0.250, 0.405, 0.203)
Mg (0.750, 0.595, 0.797)

* space group: Cmcm
* calculated formation energy: 0.177 eV per atom

[7]
Compound: Er2TmSe
Source: the Alexandria database
Functional: PBE
Structure: optimized geometry

abc: 3.562 3.562 8.415
angles: 90.00 90.00 90.00
Element x y z (fractional)
Tm (0.500, 0.500, 0.500)
Se (0.500, 0.500, 0.000)
Er (0.000, 0.000, 0.789)
Er (0.000, 0.000, 0.211)

* space group: P4/mmm
* energy above the most stable polymorph in this dataset: 0.123 eV per atom

[8]
Compound: Cs8H2I
Source: the Alexandria database
Functional: PBE
Structure: optimized geometry

abc: 6.678 11.333 11.333
angles: 79.16 88.63 88.63
Element x y z (fractional)
Cs (0.257, 0.311, 0.936)
Cs (0.743, 0.064, 0.689)
Cs (0.237, 0.798, 0.798)
Cs (0.763, 0.202, 0.202)
Cs (0.257, 0.936, 0.311)
Cs (0.743, 0.689, 0.064)
Cs (0.744, 0.617, 0.617)
Cs (0.256, 0.383, 0.383)
H (0.707, 0.792, 0.792)
H (0.293, 0.208, 0.208)
I (0.000, 0.000, 0.000)

* space group: C2/m

[9]
Compound: Sr3I3N
Source: the Alexandria database
Functional: PBE
Structure: optimized geometry

abc: 8.444 8.444 8.261
angles: 97.43 97.43 114.06
Element x y z (fractional)
Sr (0.907, 0.907, 0.157)
Sr (0.843, 0.576, 0.734)
Sr (0.576, 0.843, 0.734)
Sr (0.157, 0.424, 0.266)
Sr (0.424, 0.157, 0.266)
Sr (0.093, 0.093, 0.843)
I (0.621, 0.621, 0.348)
I (0.179, 0.821, 0.500)
I (0.821, 0.179, 0.500)
I (0.265, 0.735, 0.000)
I (0.735, 0.265, 0.000)
I (0.379, 0.379, 0.652)
N (0.832, 0.832, 0.856)
N (0.168, 0.168, 0.144)

* space group: C2/m
* energy above the most stable polymorph in this dataset: 0.000 eV per atom

[10]
Compound: RbErMn2Cl8
Source: the Alexandria database
Functional: PBE
Structure: optimized geometry

abc: 6.429 6.429 11.166
angles: 73.27 73.27 60.00
Element x y z (fractional)
Rb (0.000, 0.000, 0.000)
Er (0.500, 0.500, 0.500)
Mn (0.755, 0.755, 0.735)
Mn (0.245, 0.245, 0.265)
Cl (0.683, 0.683, 0.951)
Cl (0.317, 0.317, 0.049)
Cl (0.565, 0.232, 0.339)
Cl (0.768, 0.435, 0.661)
Cl (0.136, 0.768, 0.661)
Cl (0.232, 0.864, 0.339)
Cl (0.864, 0.565, 0.339)
Cl (0.435, 0.136, 0.661)

* space group: R32

[11]
Compound: Mg4CuAg
Source: the Alexandria database
Functional: PBE
Structure: optimized geometry

abc: 4.497 4.498 6.512
angles: 90.01 89.99 90.00
Element x y z (fractional)
Mg (0.501, 0.997, 0.261)
Mg (0.501, 0.997, 0.736)
Mg (0.001, 0.497, 0.736)
Mg (0.001, 0.497, 0.261)
Cu (0.001, 0.997, 0.498)
Ag (0.501, 0.497, 0.998)

* space group: P4/mmm
* energy above the most stable polymorph in this dataset: 0.123 eV per atom
* calculated formation energy: -0.002 eV per atom

[12]
Compound: Rb2PrNp3O12
Source: the Alexandria database
Functional: PBE
Structure: optimized geometry

abc: 7.800 7.800 7.800
angles: 62.34 62.34 62.34
Element x y z (fractional)
Rb (0.630, 0.630, 0.630)
Rb (0.370, 0.370, 0.370)
Pr (0.000, 0.000, 0.000)
Np (0.500, 0.000, 0.000)
Np (0.000, 0.500, 0.000)
Np (0.000, 0.000, 0.500)
O (0.301, 0.301, 0.926)
O (0.915, 0.915, 0.362)
O (0.362, 0.915, 0.915)
O (0.926, 0.301, 0.301)
O (0.915, 0.362, 0.915)
O (0.301, 0.926, 0.301)
O (0.699, 0.699, 0.074)
O (0.085, 0.085, 0.638)
O (0.638, 0.085, 0.085)
O (0.074, 0.699, 0.699)
O (0.085, 0.638, 0.085)
O (0.699, 0.074, 0.699)

* space group: R-3m

[13]
Compound: SnPPt2
Source: the Alexandria database
Functional: PBE
Structure: optimized geometry

abc: 4.593 4.593 4.593
angles: 60.00 60.00 60.00
Element x y z (fractional)
P (0.000, 0.000, 0.000)
Sn (0.500, 0.500, 0.500)
Pt (0.250, 0.250, 0.250)
Pt (0.750, 0.750, 0.750)

* space group: Fm-3m
* calculated formation energy: 0.007 eV per atom

[14]
Compound: Sr2ReAsRu
Source: the Alexandria database
Functional: PBE
Structure: optimized geometry

abc: 5.882 5.882 4.655
angles: 90.00 90.00 90.00
Element x y z (fractional)
Re (0.000, 0.000, 0.000)
As (0.000, 0.000, 0.500)
Sr (0.000, 0.500, 0.000)
Sr (0.500, 0.000, 0.000)
Ru (0.500, 0.500, 0.500)

* space group: P4/mmm
* calculated formation energy: 1.000 eV per atom

[15]
Compound: La2Y2Tl
Source: the Alexandria database
Functional: PBE
Structure: optimized geometry

abc: 8.291 8.291 4.912
angles: 90.00 90.00 90.00
Element x y z (fractional)
Y (0.165, 0.665, 0.500)
Y (0.665, 0.835, 0.500)
Y (0.835, 0.335, 0.500)
Y (0.335, 0.165, 0.500)
Tl (0.000, 0.000, 0.000)
Tl (0.500, 0.500, 0.000)
La (0.369, 0.869, 0.000)
La (0.869, 0.631, 0.000)
La (0.631, 0.131, 0.000)
La (0.131, 0.369, 0.000)

* space group: P4/mbm
* energy above the most stable polymorph in this dataset: 0.234 eV per atom
* calculated formation energy: 0.094 eV per atom

[16]
Compound: Rb2Cd3In4Ga
Source: the Alexandria database
Functional: PBE
Structure: optimized geometry

abc: 4.952 4.952 12.542
angles: 90.00 90.00 90.00
Element x y z (fractional)
Rb (0.500, 0.000, 0.255)
Rb (0.000, 0.500, 0.745)
Cd (0.000, 0.000, 0.500)
Cd (0.500, 0.000, 0.861)
Cd (0.000, 0.500, 0.139)
In (0.500, 0.500, 0.000)
In (0.000, 0.000, 0.000)
In (0.500, 0.000, 0.625)
In (0.000, 0.500, 0.375)
Ga (0.500, 0.500, 0.500)

* space group: P-4m2
* calculated formation energy: -0.070 eV per atom

[17]
Compound: Mn2CuHPd
Source: the Alexandria database
Functional: PBE
Structure: optimized geometry

abc: 3.928 3.928 3.821
angles: 90.00 90.00 90.00
Element x y z (fractional)
H (0.000, 0.000, 0.000)
Mn (0.000, 0.500, 0.000)
Mn (0.500, 0.000, 0.000)
Cu (0.500, 0.500, 0.500)
Pd (0.000, 0.000, 0.500)

* space group: P4/mmm
* energy above the most stable polymorph in this dataset: 0.006 eV per atom

[18]
Compound: HfGaS2
Source: the Alexandria database
Functional: PBE
Structure: optimized geometry

abc: 8.903 8.903 8.903
angles: 22.89 22.89 22.89
Element x y z (fractional)
S (0.892, 0.892, 0.892)
S (0.108, 0.108, 0.108)
Hf (0.500, 0.500, 0.500)
Ga (0.000, 0.000, 0.000)

* space group: R-3m

[19]
Compound: Cs2PtN
Source: the Alexandria database
Functional: PBE
Structure: optimized geometry

abc: 12.953 12.953 9.357
angles: 46.19 46.19 90.00
Element x y z (fractional)
Cs (0.386, 0.125, 0.250)
Cs (0.364, 0.625, 0.250)
Cs (0.375, 0.614, 0.750)
Cs (0.875, 0.636, 0.750)
Pt (0.000, 0.000, 0.000)
Pt (0.750, 0.250, 0.500)
N (0.500, 0.500, 0.000)
N (0.250, 0.750, 0.500)

* space group: I-42d

[20]
Compound: Be3InPd
Source: the Alexandria database
Functional: PBE
Structure: optimized geometry

abc: 4.424 4.424 4.424
angles: 90.00 90.00 90.00
Element x y z (fractional)
Be (0.000, 0.500, 0.000)
Be (0.000, 0.000, 0.500)
Be (0.500, 0.000, 0.000)
Pd (0.500, 0.500, 0.500)
In (0.000, 0.000, 0.000)

* space group: Pm-3m
* energy above the most stable polymorph in this dataset: 0.787 eV per atom
* calculated formation energy: 1.150 eV per atom

[21]
Compound: LaAgRu2
Source: the Alexandria database
Functional: PBE
Structure: optimized geometry

abc: 4.321 4.321 10.074
angles: 77.62 77.62 90.00
Element x y z (fractional)
Ru (0.505, 0.125, 0.250)
Ru (0.245, 0.625, 0.250)
Ru (0.375, 0.495, 0.750)
Ru (0.875, 0.755, 0.750)
Ag (0.500, 0.500, 0.000)
Ag (0.250, 0.750, 0.500)
La (0.000, 0.000, 0.000)
La (0.750, 0.250, 0.500)

* space group: I-42d
* energy above the most stable polymorph in this dataset: 0.250 eV per atom
* calculated formation energy: 0.438 eV per atom

Number 1: mass density 3157 kg/m³, calculated total energy -3.5073 eV per atom. Number 2: mass density 7680 kg/m³, calculated total energy -4.7901 eV per atom. Number 3: mass density 7113 kg/m³, calculated total energy -6.0065 eV per atom. Number 4: mass density 7337 kg/m³, calculated total energy -3.5921 eV per atom. Number 5: mass density 4796 kg/m³, calculated total energy -4.7768 eV per atom. Number 6: mass density 4184 kg/m³, calculated total energy -2.6591 eV per atom. Number 7: mass density 9060 kg/m³, calculated total energy -4.9434 eV per atom. Number 8: mass density 2351 kg/m³, calculated total energy -1.6406 eV per atom. Number 9: mass density 4181 kg/m³, calculated total energy -3.9387 eV per atom. Number 10: mass density 2847 kg/m³, calculated total energy -4.8052 eV per atom. Number 11: mass density 3386 kg/m³, calculated total energy -2.2229 eV per atom. Number 12: mass density 5713 kg/m³, calculated total energy -8.5446 eV per atom. Number 13: mass density 13081 kg/m³, calculated total energy -5.3665 eV per atom. Number 14: mass density 5541 kg/m³, calculated total energy -4.9472 eV per atom. Number 15: mass density 6492 kg/m³, calculated total energy -4.9363 eV per atom. Number 16: mass density 5599 kg/m³, calculated total energy -1.9360 eV per atom. Number 17: mass density 7908 kg/m³, calculated total energy -6.1579 eV per atom. Number 18: mass density 5536 kg/m³, calculated total energy -6.3559 eV per atom. Number 19: mass density 4920 kg/m³, calculated total energy -4.0991 eV per atom. Number 20: mass density 4761 kg/m³, calculated total energy -2.6721 eV per atom. Number 21: mass density 8319 kg/m³, calculated total energy -6.1450 eV per atom.